TiCu3I at its PBEsol-relaxed geometry. Source: the Alexandria database, functional SCAN.

- ΔE_f (raw) (eV per atom) = 1.43
- space group = No. 221

Cell: 4.7704 4.7704 4.7704 Å, 90.00 90.00 90.00°
Sites, in units of the cell vectors:
I1 0.0000 0.0000 0.0000
Cu1 0.5000 0.0000 0.0000
Cu2 0.0000 0.0000 0.5000
Cu3 0.0000 0.5000 0.0000
Ti1 0.5000 0.5000 0.5000

TlCuI2 at its PBEsol-relaxed geometry. Source: the Alexandria database, functional SCAN.

- ΔE_f (raw) (eV per atom) = -0.33
- space group = No. 122

Cell: 6.9027 6.9027 6.9027 Å, 71.94 69.82 110.18°
Sites, in units of the cell vectors:
I1 0.4182 0.6250 0.4568
I2 0.5818 0.1250 0.7932
I3 0.9182 0.7932 0.6250
Cu1 0.5000 0.7500 0.7500
Tl1 0.0000 0.0000 0.0000
I4 0.0818 0.4568 0.1250
Cu2 0.0000 0.5000 0.5000
Tl2 0.5000 0.2500 0.2500

Tl2CuI3 at its PBEsol-relaxed geometry. Source: the Alexandria database, functional SCAN.

- ΔE_f (raw) (eV per atom) = -0.49
- space group = No. 58

Cell: 9.0251 9.2273 9.3234 Å, 90.00 90.00 90.00°
Sites, in units of the cell vectors:
Cu1 0.4557 0.5000 0.1281
Tl1 0.1492 0.7418 0.8598
I1 0.6676 0.0000 0.3337
Tl2 0.3508 0.7582 0.3598
I2 0.6469 0.5000 0.3373
Tl3 0.6492 0.2418 0.6402
I3 0.3531 0.5000 0.6627
Cu2 0.9557 0.0000 0.3719
Cu3 0.5443 0.5000 0.8719
Cu4 0.0443 0.0000 0.6281
I4 0.3324 0.0000 0.6663
Tl4 0.3508 0.2418 0.3598
Tl5 0.8508 0.2582 0.1402
I5 0.0000 0.7499 0.5000
Tl6 0.8508 0.7418 0.1402
I6 0.0000 0.2501 0.5000
I7 0.8531 0.0000 0.8373
I8 0.8324 0.5000 0.8337
I9 0.5000 0.7501 0.0000
I10 0.1469 0.0000 0.1627
Tl7 0.1492 0.2582 0.8598
I11 0.1676 0.5000 0.1663
Tl8 0.6492 0.7582 0.6402
I12 0.5000 0.2499 0.0000

Question: Which value of ΔE_f (raw) does entry 2 give?
Answer: -0.33 eV per atom